Entry 1:
Be2P | GGA-PBE | relaxed

Properties
Density ... 2232 kg/m³
Space group ... Cm (8)
Magnetization ... 0.00 μB/f.u.
Relative energy among the computed polymorphs ... 63 meV per atom
DFT formation energy ... -74 meV/atom
Density of states at the Fermi level ... 0.1 states/eV/f.u.

Cell lengths 3.985, 3.985, 5.533 Å; angles 108.85, 108.85, 63.74 degrees
Sites, in units of the cell vectors:
Be (0.000, 0.000, 0.000)
Be (0.277, 0.778, 0.392)
Be (0.345, 0.345, 0.650)
Be (0.778, 0.277, 0.392)
P (0.341, 0.341, 0.044)
P (0.837, 0.837, 0.574)

Entry 2:
KTh2Te5 | GGA-PBE | relaxed

Properties
Density ... 6316 kg/m³
Space group ... Immm (71)
Raw total energy ... -5.0369 eV/atom
Magnetization ... 0.76 μB/f.u.
Density of states at the Fermi level ... 7.3 states/eV/f.u.

Cell lengths 9.311, 9.311, 9.311 Å; angles 150.91, 129.63, 59.23 degrees
Sites, in units of the cell vectors:
K (0.000, 0.000, 0.000)
Th (0.308, 0.808, 0.500)
Th (0.692, 0.192, 0.500)
Te (0.094, 0.351, 0.742)
Te (0.391, 0.649, 0.742)
Te (0.500, 0.000, 0.500)
Te (0.609, 0.351, 0.258)
Te (0.906, 0.649, 0.258)

Entry 3:
CaEuSiPd | GGA-PBE | relaxed

Properties
Density ... 5791 kg/m³
Space group ... F-43m (216)
Raw total energy ... -6.1852 eV/atom
Magnetization ... 6.87 μB/f.u.
Density of states at the Fermi level ... 11.0 states/eV/f.u.

Cell lengths 5.097, 5.097, 5.097 Å; angles 60.00, 60.00, 60.00 degrees
Sites, in units of the cell vectors:
Ca (0.000, 0.000, 0.000)
Eu (0.500, 0.500, 0.500)
Si (0.250, 0.250, 0.250)
Pd (0.750, 0.750, 0.750)

Entry 4:
Ac2ThIn | GGA-PBE | relaxed

Properties
Density ... 9213 kg/m³
Space group ... P4/mmm (123)
Magnetization ... 0.00 μB/f.u.
Relative energy among the computed polymorphs ... 0 meV per atom
DFT formation energy ... -108 meV/atom
Density of states at the Fermi level ... 4.4 states/eV/f.u.

Cell lengths 3.825, 3.825, 9.867 Å; angles 90.00, 90.00, 90.00 degrees
Sites, in units of the cell vectors:
Ac (0.000, 0.000, 0.234)
Ac (0.000, 0.000, 0.766)
Th (0.500, 0.500, 0.500)
In (0.500, 0.500, 0.000)

Entry 5:
KRb4Cu3Br12 | GGA-PBE | relaxed

Properties
Density ... 3974 kg/m³
Space group ... Im-3m (229)
Raw total energy ... -2.8305 eV/atom
Magnetization ... 0.00 μB/f.u.
Density of states at the Fermi level ... 6.4 states/eV/f.u.

Cell lengths 9.401, 9.401, 9.401 Å; angles 109.47, 109.47, 109.47 degrees
Sites, in units of the cell vectors:
K (0.000, 0.000, 0.000)
Rb (0.000, 0.000, 0.500)
Rb (0.000, 0.500, 0.000)
Rb (0.500, 0.000, 0.000)
Rb (0.500, 0.500, 0.500)
Cu (0.000, 0.500, 0.500)
Cu (0.500, 0.000, 0.500)
Cu (0.500, 0.500, 0.000)
Br (0.000, 0.281, 0.281)
Br (0.000, 0.719, 0.719)
Br (0.250, 0.500, 0.750)
Br (0.250, 0.750, 0.500)
Br (0.281, 0.000, 0.281)
Br (0.281, 0.281, 0.000)
Br (0.500, 0.250, 0.750)
Br (0.500, 0.750, 0.250)
Br (0.719, 0.000, 0.719)
Br (0.719, 0.719, 0.000)
Br (0.750, 0.250, 0.500)
Br (0.750, 0.500, 0.250)

Entry 6:
CaCuIr3 | GGA-PBE | relaxed

Properties
Density ... 10525 kg/m³
Space group ... Pm-3m (221)
Magnetization ... 0.01 μB/f.u.
Relative energy among the computed polymorphs ... 1576 meV per atom
DFT formation energy ... 2484 meV/atom
Density of states at the Fermi level ... 8.6 states/eV/f.u.

Cell lengths 4.752, 4.752, 4.752 Å; angles 90.00, 90.00, 90.00 degrees
Sites, in units of the cell vectors:
Ca (0.000, 0.000, 0.000)
Cu (0.500, 0.500, 0.500)
Ir (0.000, 0.000, 0.500)
Ir (0.000, 0.500, 0.000)
Ir (0.500, 0.000, 0.000)

Entry 7:
CsBrO6 | GGA-PBE | relaxed

Properties
Density ... 3276 kg/m³
Space group ... R-3m (166)
Raw total energy ... -3.6008 eV/atom
Magnetization ... 4.01 μB/f.u.
Density of states at the Fermi level ... 5.3 states/eV/f.u.

Cell lengths 5.423, 5.423, 5.423 Å; angles 96.15, 96.15, 96.15 degrees
Sites, in units of the cell vectors:
Cs (0.000, 0.000, 0.000)
Br (0.500, 0.500, 0.500)
O (0.270, 0.270, 0.570)
O (0.270, 0.570, 0.270)
O (0.430, 0.730, 0.730)
O (0.570, 0.270, 0.270)
O (0.730, 0.430, 0.730)
O (0.730, 0.730, 0.430)

Entry 8:
Er6CoPb | GGA-PBE | relaxed

Properties
Density ... 8449 kg/m³
Space group ... P-1 (2)
Magnetization ... 0.00 μB/f.u.
DFT formation energy ... -8 meV/atom
Density of states at the Fermi level ... 10.3 states/eV/f.u.

Cell lengths 6.695, 6.711, 7.476 Å; angles 90.15, 116.44, 119.91 degrees
Sites, in units of the cell vectors:
Er (0.060, 0.090, 0.267)
Er (0.298, 0.708, 0.267)
Er (0.322, 0.530, 0.733)
Er (0.678, 0.470, 0.267)
Er (0.702, 0.292, 0.733)
Er (0.940, 0.910, 0.733)
Co (0.500, 0.500, 0.500)
Pb (0.500, 0.000, 0.000)

Entry 9:
Al2CdW | GGA-PBE | relaxed

Properties
Density ... 7870 kg/m³
Space group ... I-42d (122)
Magnetization ... 0.00 μB/f.u.
DFT formation energy ... 727 meV/atom
Density of states at the Fermi level ... 2.7 states/eV/f.u.

Cell lengths 5.836, 5.836, 5.836 Å; angles 103.79, 103.79, 121.55 degrees
Sites, in units of the cell vectors:
Al (0.120, 0.625, 0.995)
Al (0.375, 0.370, 0.495)
Al (0.630, 0.125, 0.005)
Al (0.875, 0.880, 0.505)
Cd (0.250, 0.750, 0.500)
Cd (0.500, 0.500, 0.000)
W (0.000, 0.000, 0.000)
W (0.750, 0.250, 0.500)

Entry 10:
NaCuSn3 | GGA-PBE | relaxed

Properties
Density ... 4735 kg/m³
Space group ... Pm-3m (221)
Magnetization ... 0.00 μB/f.u.
Relative energy among the computed polymorphs ... 1006 meV per atom
DFT formation energy ... 956 meV/atom
Density of states at the Fermi level ... 2.0 states/eV/f.u.

Cell lengths 5.374, 5.374, 5.374 Å; angles 90.00, 90.00, 90.00 degrees
Sites, in units of the cell vectors:
Na (0.000, 0.000, 0.000)
Cu (0.500, 0.500, 0.500)
Sn (0.000, 0.000, 0.500)
Sn (0.000, 0.500, 0.000)
Sn (0.500, 0.000, 0.000)